(1)
MgSbPbI2 | GGA-PBE | optimized geometry

Lattice parameters (Å, degrees): 6.174 6.174 6.162 90.00 90.00 90.00
Element x y z (fractional)
1 I 0.500 0.000 0.000
2 I 0.000 0.500 0.000
3 Pb 0.000 0.000 0.000
4 Mg 0.500 0.500 0.500
5 Sb 0.000 0.000 0.500

As for the space group: P4/mmm (123). The energy comes out at -2.2483 eV/atom. The energy above the most stable polymorph in this dataset is 151 kJ/mol of formula units. The value obtained for the uncorrected formation energy is 25 kJ/mol of atoms. The density of states at the Fermi level comes out at 2.8 states/eV per cell.



(2)
ScCoSi3 | GGA-PBE | optimized geometry

Lattice parameters (Å, degrees): 4.381 4.381 4.381 90.00 90.00 90.00
Element x y z (fractional)
1 Si 0.000 0.500 0.000
2 Si 0.500 0.000 0.000
3 Si 0.000 0.000 0.500
4 Sc 0.500 0.500 0.500
5 Co 0.000 0.000 0.000

As for the space group: Pm-3m (221). The energy comes out at -5.8257 eV/atom. The value obtained for the uncorrected formation energy is 11 kJ/mol of atoms. The density of states at the Fermi level comes out at 3.6 states/eV per cell.



(3)
BaSrCr2 | GGA-PBE | optimized geometry

Lattice parameters (Å, degrees): 4.151 4.144 8.076 90.00 90.00 90.00
Element x y z (fractional)
1 Ba 0.500 0.500 0.750
2 Sr 0.500 0.500 0.250
3 Cr 0.000 0.000 0.020
4 Cr 0.000 0.000 0.480

As for the formation energy: 842 meV per atom. As for the space group: P4/mmm (123). The energy comes out at -4.8710 eV/atom. The energy above the most stable polymorph in this dataset is 132 kJ/mol of formula units. The density of states at the Fermi level comes out at 4.3 states/eV per cell.



(4)
DyTi2H | GGA-PBE | optimized geometry

Lattice parameters (Å, degrees): 3.066 3.066 8.299 79.35 79.35 60.00
Element x y z (fractional)
1 H 0.500 0.500 0.500
2 Ti 0.121 0.121 0.637
3 Ti 0.879 0.879 0.363
4 Dy 0.000 0.000 0.000

As for the space group: R-3m (166). The energy comes out at -5.7813 eV/atom. The density of states at the Fermi level comes out at 4.9 states/eV per cell.



(5)
Pm2AlAu | GGA-PBE | optimized geometry

Lattice parameters (Å, degrees): 3.820 4.633 6.172 90.00 108.03 90.00
Element x y z (fractional)
1 Al 0.516 0.500 0.033
2 Au 0.376 0.000 0.751
3 Pm 0.797 0.500 0.594
4 Pm 0.096 0.000 0.191

As for the formation energy: -562 meV per atom. As for the space group: Amm2 (38). The energy comes out at -4.6919 eV/atom. The density of states at the Fermi level comes out at 3.7 states/eV per cell.



(6)
NbAl3As | GGA-PBE | optimized geometry

Lattice parameters (Å, degrees): 4.762 4.762 4.762 90.00 90.00 90.00
Element x y z (fractional)
1 Nb 0.500 0.500 0.500
2 Al 0.000 0.500 0.000
3 Al 0.500 0.000 0.000
4 Al 0.000 0.000 0.500
5 As 0.000 0.000 0.000

As for the formation energy: 958 meV per atom. As for the space group: Pm-3m (221). The energy comes out at -4.2310 eV/atom. The energy above the most stable polymorph in this dataset is 0 kJ/mol of formula units. The density of states at the Fermi level comes out at 3.9 states/eV per cell.



(7)
Er4AsC2 | GGA-PBE | optimized geometry

Lattice parameters (Å, degrees): 3.739 6.282 12.299 90.00 90.00 107.31
Element x y z (fractional)
1 Er 0.500 0.000 0.500
2 Er 0.934 0.869 0.750
3 Er 0.066 0.131 0.250
4 Er 0.235 0.471 0.893
5 Er 0.235 0.471 0.607
6 Er 0.500 0.000 0.000
7 Er 0.765 0.529 0.107
8 Er 0.765 0.529 0.393
9 C 0.136 0.271 0.060
10 C 0.864 0.729 0.560
11 C 0.136 0.271 0.440
12 C 0.864 0.729 0.940
13 As 0.389 0.779 0.250
14 As 0.611 0.221 0.750

As for the formation energy: -681 meV per atom. As for the space group: Cmcm (63). The energy comes out at -6.5877 eV/atom. The energy above the most stable polymorph in this dataset is 0 kJ/mol of formula units. The density of states at the Fermi level comes out at 4.4 states/eV per cell.



(8)
PrPuTlBi | GGA-PBE | optimized geometry

Lattice parameters (Å, degrees): 5.543 5.543 5.543 60.00 60.00 60.00
Element x y z (fractional)
1 Pr 0.250 0.250 0.250
2 Pu 0.750 0.750 0.750
3 Tl 0.000 0.000 0.000
4 Bi 0.500 0.500 0.500

As for the formation energy: -298 meV per atom. As for the space group: F-43m (216). The energy comes out at -6.6372 eV/atom. The density of states at the Fermi level comes out at 12.8 states/eV per cell.



Which formula does entry 7 have? Er4AsC2



Among the records above, which one has the highest energy? MgSbPbI2



Which value of energy does entry 4 give? -5.7813 eV/atom